1.
Entry from OQMD via LeMat-Bulk: a relaxed structure of Zr3CuC2 (PBE-GGA).

Unit cell a=3.3550 b=3.3550 c=18.6594 alpha=90.00 beta=90.00 gamma=120.00
Closest atoms and distances in Å follow each position.
Element x y z (fractional)
Zr 0.3333 0.6667 0.8595  3 C 2.28
Zr 0.0000 0.0000 0.5000  6 C 2.40
Zr 0.6667 0.3333 0.1405  3 C 2.28
Zr 0.0000 0.0000 0.0000  6 C 2.40
Zr 0.6667 0.3333 0.3595  3 C 2.28
Zr 0.3333 0.6667 0.6405  3 C 2.28
Cu 0.0000 0.0000 0.7500  6 Zr 2.82
Cu 0.0000 0.0000 0.2500  6 Zr 2.82
C 0.3333 0.6667 0.4243  6 Zr 2.28-2.40
C 0.6667 0.3333 0.9243  6 Zr 2.28-2.40
C 0.6667 0.3333 0.5757  6 Zr 2.28-2.40
C 0.3333 0.6667 0.0757  6 Zr 2.28-2.40


2.
Entry from OQMD via LeMat-Bulk: a relaxed structure of Dy4C3 (PBE-GGA).

Unit cell a=6.8089 b=6.8089 c=6.8089 alpha=109.47 beta=109.47 gamma=109.47
Closest atoms and distances in Å follow each position.
Element x y z (fractional)
C 0.6250 0.3750 0.2500  4 Dy 2.44
C 0.3750 0.2500 0.6250  4 Dy 2.44
C 0.7500 0.8750 0.1250  4 Dy 2.44
C 0.1250 0.7500 0.8750  4 Dy 2.44
C 0.8750 0.1250 0.7500  4 Dy 2.44
C 0.2500 0.6250 0.3750  4 Dy 2.44
Dy 0.5919 0.5919 0.5919  3 C 2.44
Dy 0.4081 0.5000 0.0000  3 C 2.44
Dy 0.9081 0.5000 0.0000  3 C 2.44
Dy 0.0919 0.0919 0.0919  3 C 2.44
Dy 0.5000 0.0000 0.4081  3 C 2.44
Dy 0.0000 0.4081 0.5000  3 C 2.44
Dy 0.5000 0.0000 0.9081  3 C 2.44
Dy 0.0000 0.9081 0.5000  3 C 2.44


3.
Entry from OQMD via LeMat-Bulk: a relaxed structure of Dy5C (PBE-GGA).

Unit cell a=6.1218 b=6.1218 c=5.9431 alpha=90.00 beta=90.00 gamma=120.00
Closest atoms and distances in Å follow each position.
Element x y z (fractional)
Dy 0.6667 0.3333 0.0000  9 Dy 3.46-3.53, 3 C 3.53
Dy 0.5000 0.5000 0.5000  4 Dy 3.06
Dy 0.5000 0.0000 0.5000  4 Dy 3.06
Dy 0.0000 0.5000 0.5000  4 Dy 3.06
Dy 0.3333 0.6667 0.0000  9 Dy 3.46-3.53, 3 C 3.53
C 0.0000 0.0000 0.0000  6 Dy 3.53


4.
Entry from OQMD via LeMat-Bulk: a relaxed structure of Dy4C5 (PBE-GGA).

Unit cell a=6.5717 b=11.9573 c=3.6627 alpha=90.00 beta=90.00 gamma=90.00
Closest atoms and distances in Å follow each position.
Element x y z (fractional)
C 0.5000 0.5000 0.5000  6 Dy 2.44-2.49
C 0.3620 0.2644 0.0000  1 C 1.33
C 0.8620 0.2356 0.0000  1 C 1.33
C 0.0962 0.6554 0.0000  1 C 1.33
C 0.1380 0.7644 0.0000  1 C 1.33
C 0.6380 0.7356 0.0000  1 C 1.33
C 0.4038 0.1554 0.0000  1 C 1.33
C 0.5962 0.8446 0.0000  1 C 1.33
C 0.0000 0.0000 0.5000  6 Dy 2.44-2.49
C 0.9038 0.3446 0.0000  1 C 1.33
Dy 0.6080 0.3044 0.5000  7 C 2.44-2.71
Dy 0.3920 0.6956 0.5000  7 C 2.44-2.71
Dy 0.7442 0.5428 0.0000  5 C 2.41-2.68
Dy 0.1080 0.1956 0.5000  7 C 2.44-2.71
Dy 0.7558 0.0428 0.0000  5 C 2.41-2.68
Dy 0.8920 0.8044 0.5000  7 C 2.44-2.71
Dy 0.2442 0.9572 0.0000  5 C 2.41-2.68
Dy 0.2558 0.4572 0.0000  5 C 2.41-2.68


| no. | total energy (eV/atom) |
| --- | --- |
| 1 | -8.52 |
| 2 | -6.81 |
| 3 | -3.79 |
| 4 | -7.49 |